No. 1
VASP calculation (PBE-GGA) on crystalline RbRe3Se at its relaxed geometry.

Summary:
* E: -20.37 eV for the cell shown
* relative energy among the computed polymorphs: 2.1747 eV per atom
* DOS(E_F): 7.3 states/eV per cell
* symmetry: Pm-3m (221)

Cell lengths 4.7461, 4.7461, 4.7461 Å; angles 90.00, 90.00, 90.00 degrees
Fractional coordinates of all 5 atoms:
1 Rb 0.0000 0.0000 0.0000
2 Re 0.0000 0.0000 0.5000
3 Re 0.0000 0.5000 0.0000
4 Re 0.5000 0.0000 0.0000
5 Se 0.5000 0.5000 0.5000


No. 2
VASP calculation (PBE-GGA) on crystalline RbTaRe2Se at its relaxed geometry.

Summary:
* E: -21.92 eV for the cell shown
* DOS(E_F): 7.5 states/eV per cell
* symmetry: P4/mmm (123)

Cell lengths 4.7574, 4.7574, 4.8472 Å; angles 90.00, 90.00, 90.00 degrees
Fractional coordinates of all 5 atoms:
1 Rb 0.0000 0.0000 0.0000
2 Ta 0.0000 0.0000 0.5000
3 Re 0.0000 0.5000 0.0000
4 Re 0.5000 0.0000 0.0000
5 Se 0.5000 0.5000 0.5000


No. 3
VASP calculation (PBE-GGA) on crystalline Rb2TlReSe4 at its relaxed geometry.

Summary:
* E: -69.98 eV for the cell shown
* DOS(E_F): 5.8 states/eV per cell
* symmetry: I-4 (82)

Cell lengths 8.4208, 8.4208, 8.5835 Å; angles 90.00, 90.00, 90.00 degrees
Fractional coordinates of all 16 atoms:
1 Rb 0.0000 0.0000 0.0000
2 Rb 0.0000 0.5000 0.2500
3 Rb 0.5000 0.0000 0.7500
4 Rb 0.5000 0.5000 0.5000
5 Tl 0.0000 0.0000 0.5000
6 Tl 0.5000 0.5000 0.0000
7 Re 0.0000 0.5000 0.7500
8 Re 0.5000 0.0000 0.2500
9 Se 0.1517 0.6796 0.6005
10 Se 0.1796 0.3483 0.8995
11 Se 0.3204 0.1517 0.3995
12 Se 0.3483 0.8204 0.1005
13 Se 0.6517 0.1796 0.1005
14 Se 0.6796 0.8483 0.3995
15 Se 0.8204 0.6517 0.8995
16 Se 0.8483 0.3204 0.6005


No. 4
VASP calculation (PBE-GGA) on crystalline RbZnRe2Se at its relaxed geometry.

Summary:
* E: -22.74 eV for the cell shown
* DOS(E_F): 3.1 states/eV per cell
* symmetry: P4/mmm (123)

Cell lengths 4.6754, 4.6754, 6.2945 Å; angles 90.00, 90.00, 90.00 degrees
Fractional coordinates of all 5 atoms:
1 Rb 0.0000 0.0000 0.0000
2 Zn 0.5000 0.5000 0.0000
3 Re 0.0000 0.5000 0.5000
4 Re 0.5000 0.0000 0.5000
5 Se 0.0000 0.0000 0.5000


No. 5
VASP calculation (PBE-GGA) on crystalline RbReSi2 at its relaxed geometry.

Summary:
* E: -92.53 eV for the cell shown
* relative energy among the computed polymorphs: 0.0000 eV per atom
* DOS(E_F): 1.6 states/eV per cell
* symmetry: I4_1/amd (141)

Cell lengths 6.1451, 6.1451, 13.6400 Å; angles 90.00, 90.00, 90.00 degrees
Fractional coordinates of all 16 atoms:
1 Rb 0.0000 0.2500 0.3750
2 Rb 0.0000 0.7500 0.6250
3 Rb 0.5000 0.2500 0.1250
4 Rb 0.5000 0.7500 0.8750
5 Re 0.0000 0.2500 0.8750
6 Re 0.0000 0.7500 0.1250
7 Re 0.5000 0.2500 0.6250
8 Re 0.5000 0.7500 0.3750
9 Si 0.0000 0.0000 0.0000
10 Si 0.0000 0.5000 0.0000
11 Si 0.2500 0.2500 0.7500
12 Si 0.2500 0.7500 0.2500
13 Si 0.5000 0.0000 0.5000
14 Si 0.5000 0.5000 0.5000
15 Si 0.7500 0.2500 0.7500
16 Si 0.7500 0.7500 0.2500


No. 6
VASP calculation (PBE-GGA) on crystalline RbRe2Si at its relaxed geometry.

Summary:
* E: -104.20 eV for the cell shown
* DOS(E_F): 13.5 states/eV per cell
* symmetry: I-42d (122)

Cell lengths 4.8491, 4.8491, 17.4473 Å; angles 90.00, 90.00, 90.00 degrees
Fractional coordinates of all 16 atoms:
1 Rb 0.0000 0.0000 0.0000
2 Rb 0.0000 0.5000 0.2500
3 Rb 0.5000 0.0000 0.7500
4 Rb 0.5000 0.5000 0.5000
5 Re 0.0368 0.7500 0.6250
6 Re 0.2500 0.0368 0.3750
7 Re 0.2500 0.4632 0.8750
8 Re 0.4632 0.7500 0.1250
9 Re 0.5368 0.2500 0.1250
10 Re 0.7500 0.5368 0.8750
11 Re 0.7500 0.9632 0.3750
12 Re 0.9632 0.2500 0.6250
13 Si 0.0000 0.0000 0.5000
14 Si 0.0000 0.5000 0.7500
15 Si 0.5000 0.0000 0.2500
16 Si 0.5000 0.5000 0.0000


No. 7
VASP calculation (PBE-GGA) on crystalline Rb2ReSi at its relaxed geometry.

Summary:
* E: -63.88 eV for the cell shown
* DOS(E_F): 8.0 states/eV per cell
* symmetry: I-42d (122)

Cell lengths 13.3794, 13.3794, 4.6120 Å; angles 90.00, 90.00, 90.00 degrees
Fractional coordinates of all 16 atoms:
1 Rb 0.0521 0.7500 0.1250
2 Rb 0.2500 0.0521 0.8750
3 Rb 0.2500 0.4479 0.3750
4 Rb 0.4479 0.7500 0.6250
5 Rb 0.5521 0.2500 0.6250
6 Rb 0.7500 0.5521 0.3750
7 Rb 0.7500 0.9479 0.8750
8 Rb 0.9479 0.2500 0.1250
9 Re 0.0000 0.0000 0.5000
10 Re 0.0000 0.5000 0.7500
11 Re 0.5000 0.0000 0.2500
12 Re 0.5000 0.5000 0.0000
13 Si 0.0000 0.0000 0.0000
14 Si 0.0000 0.5000 0.2500
15 Si 0.5000 0.0000 0.7500
16 Si 0.5000 0.5000 0.5000


No. 8
VASP calculation (PBE-GGA) on crystalline RbRe3Si at its relaxed geometry.

Summary:
* E: -22.28 eV for the cell shown
* relative energy among the computed polymorphs: 2.3783 eV per atom
* DOS(E_F): 7.1 states/eV per cell
* symmetry: Pm-3m (221)

Cell lengths 4.7166, 4.7166, 4.7166 Å; angles 90.00, 90.00, 90.00 degrees
Fractional coordinates of all 5 atoms:
1 Rb 0.0000 0.0000 0.0000
2 Re 0.0000 0.0000 0.5000
3 Re 0.0000 0.5000 0.0000
4 Re 0.5000 0.0000 0.0000
5 Si 0.5000 0.5000 0.5000


- What is the E in the fifth record?
  -92.53 eV for the cell shown